No. 1
Compound: MgTaTe
Source: the Alexandria database
Functional: PBEsol
Structure: optimized geometry

Properties
- space-group type = No. 42
- DFT total energy (eV per atom) = -5.66
- relative energy among the computed polymorphs (meV per atom) = 274
- theoretical density (g cm⁻³) = 8.3
- total magnetic moment (μB per cell) = 0.00

Cell lengths 7.5788, 7.3884, 3.1212 Å; angles 81.41, 74.56, 24.03 degrees
Last column: nearest neighbours and their distance in Å.
Sites, in units of the cell vectors:
1 Mg 0.0000 0.0000 0.0000  2 Ta 2.86, 4 Mg 3.12
2 Ta 0.3477 0.3477 0.6523  2 Te 2.77, 2 Mg 2.86
3 Te 0.7039 0.7039 0.2961  2 Ta 2.77

=====

No. 2
Compound: MgTaTe
Source: the Alexandria database
Functional: PBEsol
Structure: optimized geometry

Properties
- space-group type = No. 107
- DFT total energy (eV per atom) = -5.93
- relative energy among the computed polymorphs (meV per atom) = 0
- theoretical density (g cm⁻³) = 9.4
- total magnetic moment (μB per cell) = 0.00

Cell lengths 5.4128, 5.4128, 5.4128 Å; angles 142.34, 142.34, 54.32 degrees
Last column: nearest neighbours and their distance in Å.
Sites, in units of the cell vectors:
1 Mg 0.0000 0.0000 0.0000  5 Ta 2.99-3.14, 5 Te 3.03-3.07
2 Ta 0.6742 0.6742 0.0000  4 Te 2.83, 5 Mg 2.99-3.14
3 Te 0.3184 0.3184 0.0000  4 Ta 2.83, 5 Mg 3.03-3.07

=====

No. 3
Compound: MgTaTe4
Source: the Alexandria database
Functional: PBEsol
Structure: optimized geometry

Properties
- space-group type = No. 216
- DFT total energy (eV per atom) = -3.75
- theoretical density (g cm⁻³) = 7.3
- total magnetic moment (μB per cell) = 2.36

Cell lengths 6.1320, 6.1320, 6.1320 Å; angles 60.00, 60.00, 60.00 degrees
Last column: nearest neighbours and their distance in Å.
Sites, in units of the cell vectors:
1 Mg 0.0000 0.0000 0.0000  12 Te 3.60, 4 Ta 3.76
2 Ta 0.7500 0.7500 0.7500  12 Te 3.59, 4 Mg 3.76
3 Te 0.3754 0.3754 0.3754  6 Te 3.06-3.08
4 Te 0.3754 0.3754 0.8738  6 Te 3.06-3.08
5 Te 0.3754 0.8738 0.3754  6 Te 3.06-3.08
6 Te 0.8738 0.3754 0.3754  6 Te 3.06-3.08

=====

No. 4
Compound: MgTaTe2
Source: the Alexandria database
Functional: PBEsol
Structure: optimized geometry

Properties
- space-group type = No. 122
- DFT total energy (eV per atom) = -5.09
- theoretical density (g cm⁻³) = 6.0
- total magnetic moment (μB per cell) = 4.91

Cell lengths 7.5574, 7.5574, 7.5574 Å; angles 128.67, 128.67, 75.54 degrees
Last column: nearest neighbours and their distance in Å.
Sites, in units of the cell vectors:
1 Mg 0.0000 0.0000 0.0000  4 Te 2.79
2 Mg 0.7500 0.2500 0.5000  4 Te 2.79
3 Ta 0.2500 0.7500 0.5000  4 Te 2.72
4 Ta 0.5000 0.5000 0.0000  4 Te 2.72
5 Te 0.1339 0.6250 0.0089  2 Ta 2.72, 2 Mg 2.79
6 Te 0.3750 0.3839 0.5089  2 Ta 2.72, 2 Mg 2.79
7 Te 0.6161 0.1250 0.9911  2 Ta 2.72, 2 Mg 2.79
8 Te 0.8750 0.8661 0.4911  2 Ta 2.72, 2 Mg 2.79